(1)
Computed, not measured: crystalline PuCo2 at its relaxed geometry at the PBE-GGA level of DFT.

Computed properties:
- theoretical density (g/cm3) = 13.4
- crystal system = tetragonal
- raw total energy (eV/atom) = -9.30

abc: 2.823 2.823 11.256
angles: 90.00 90.00 90.00
Space group I4/mmm (No. 139)
Inequivalent atoms, fractional coordinates:
Pu1 0.000 0.000 0.000
Co1 0.000 0.000 0.306

(2)
Computed, not measured: crystalline Pm5SmErSc2 at its relaxed geometry at the PBE-GGA level of DFT.

Computed properties:
- theoretical density (g/cm3) = 6.4
- crystal system = orthorhombic
- raw total energy (eV/atom) = -4.91

abc: 5.681 21.823 9.479
angles: 90.00 90.00 90.00
Space group Cmc2_1 (No. 36)
Inequivalent atoms, fractional coordinates:
Pm1 0.000 0.011 0.000
Pm2 0.000 0.267 0.683
Pm3 0.000 0.304 0.294
Pm4 0.000 0.392 0.962
Pm5 0.000 0.467 0.262
Sm1 0.000 0.182 0.990
Er1 0.000 0.402 0.590
Sc1 0.000 0.115 0.679
Sc2 0.000 0.131 0.302

(3)
Computed, not measured: crystalline ErAl3Zn3 at its relaxed geometry at the PBE-GGA level of DFT.

Computed properties:
- theoretical density (g/cm3) = 3.5
- crystal system = cubic
- raw total energy (eV/atom) = -2.08

abc: 11.878 11.878 11.878
angles: 90.00 90.00 90.00
Space group Fm-3m (No. 225)
Inequivalent atoms, fractional coordinates:
Er1 0.250 0.250 0.250
Al1 0.000 0.000 0.156
Zn1 0.000 0.000 0.350

(4)
Computed, not measured: crystalline Al2TePPt at its relaxed geometry at the PBE-GGA level of DFT.

Computed properties:
- formation energy (no corrections) (eV/atom) = 0.2370
- theoretical density (g/cm3) = 5.6
- crystal system = tetragonal

abc: 4.676 4.676 5.522
angles: 90.00 90.00 90.00
Space group P4/mmm (No. 123)
Inequivalent atoms, fractional coordinates:
Al1 0.000 0.500 0.000
Te1 0.000 0.000 0.500
P1 0.500 0.500 0.500
Pt1 0.000 0.000 0.000

(5)
Computed, not measured: crystalline La3GaRe at its relaxed geometry at the PBE-GGA level of DFT.

Computed properties:
- theoretical density (g/cm3) = 6.7
- crystal system = cubic
- raw total energy (eV/atom) = -5.93

abc: 5.498 5.498 5.498
angles: 90.00 90.00 90.00
Space group Pm-3m (No. 221)
Inequivalent atoms, fractional coordinates:
La1 0.000 0.000 0.500
Ga1 0.500 0.500 0.500
Re1 0.000 0.000 0.000

(6)
Computed, not measured: crystalline ThScCd4 at its relaxed geometry at the PBE-GGA level of DFT.

Computed properties:
- theoretical density (g/cm3) = 8.4
- crystal system = hexagonal
- raw total energy (eV/atom) = -3.10

abc: 4.9730 4.9730 6.7399
angles: 90.00 90.00 120.00
Space group P6/mmm (No. 191)
Inequivalent atoms, fractional coordinates:
Th1 0.0000 0.0000 0.0000
Sc1 0.0000 0.0000 0.5000
Cd1 0.3333 0.6667 0.2633